(1)
## Dy6TlCu2 (PBE)

Data for crystalline Dy6TlCu2 at its relaxed geometry.

Output
Magnetization (μB/cell): 0.0
Space group: No. 71
Calculated formation energy (meV/atom): -199.9
Crystal system: orthorhombic

Lattice parameters (Å, degrees): 8.5370 8.5370 8.5370 113.29 109.37 105.84
With the nearest neighbours (Å) after each atom.
Sites, in units of the cell vectors:
Dy  0.0373  0.2370  0.8003  1 Cu 2.86, 1 Tl 3.14
Dy  0.1850  0.2847  0.4697  3 Cu 2.99-3.13, 1 Tl 3.24
Dy  0.1850  0.7153  0.9004  3 Cu 2.99-3.13, 1 Tl 3.24
Dy  0.3219  0.0161  0.6942  3 Cu 2.77-2.98
Dy  0.3219  0.6277  0.3058  3 Cu 2.77-2.98
Dy  0.4367  0.2370  0.1997  1 Cu 2.86, 1 Tl 3.14
Dy  0.5633  0.7630  0.8003  1 Cu 2.86, 1 Tl 3.14
Dy  0.6781  0.3723  0.6942  3 Cu 2.77-2.98
Dy  0.6781  0.9839  0.3058  3 Cu 2.77-2.98
Dy  0.8150  0.2847  0.0996  3 Cu 2.99-3.13, 1 Tl 3.24
Dy  0.8150  0.7153  0.5303  3 Cu 2.99-3.13, 1 Tl 3.24
Dy  0.9627  0.7630  0.1997  1 Cu 2.86, 1 Tl 3.14
Tl  0.0000  0.0000  0.0000  8 Dy 3.14-3.24, 2 Cu 3.46
Tl  0.5000  0.5000  0.0000  12 Dy 3.35-3.71
Cu  0.1192  0.6192  0.5000  1 Cu 2.45
Cu  0.3507  0.0000  0.3507  8 Dy 2.86-3.13, 1 Cu 2.95
Cu  0.6493  0.0000  0.6493  8 Dy 2.86-3.13, 1 Cu 2.95
Cu  0.8808  0.3808  0.5000  1 Cu 2.45

---

(2)
## DyTlCu (PBE)

Data for crystalline DyTlCu at its relaxed geometry.

Output
Magnetization (μB/cell): 0.0
Space group: No. 187
Calculated formation energy (meV/atom): -217.7
Crystal system: hexagonal

Lattice parameters (Å, degrees): 4.6361 4.6361 3.6152 90.00 90.00 120.00
With the nearest neighbours (Å) after each atom.
Sites, in units of the cell vectors:
Dy  0.0000  0.0000  0.0000  6 Cu 3.23, 6 Tl 3.23, 2 Dy 3.62
Tl  0.3333  0.6667  0.5000  3 Cu 2.68
Cu  0.6667  0.3333  0.5000  3 Tl 2.68

---

(3)
## Dy8Tl2Cu (PBE)

Data for crystalline Dy8Tl2Cu at its relaxed geometry.

Output
Magnetization (μB/cell): 0.0
Space group: No. 12
Calculated formation energy (meV/atom): -132.7
Crystal system: monoclinic

Lattice parameters (Å, degrees): 9.6311 9.6311 6.7282 101.90 101.90 30.87
With the nearest neighbours (Å) after each atom.
Sites, in units of the cell vectors:
Dy  0.0154  0.0154  0.2735  2 Cu 3.03, 1 Tl 3.21, 1 Dy 3.22
Dy  0.2055  0.2055  0.8062  3 Tl 3.10-3.33, 2 Dy 3.40
Dy  0.3517  0.3517  0.5205  1 Cu 2.79
Dy  0.4095  0.4095  0.0407  1 Cu 3.19, 4 Dy 3.40-3.52, 2 Tl 3.48
Dy  0.5905  0.5905  0.9593  1 Cu 3.19, 4 Dy 3.40-3.52, 2 Tl 3.48
Dy  0.6483  0.6483  0.4795  1 Cu 2.79
Dy  0.7945  0.7945  0.1938  3 Tl 3.10-3.33, 2 Dy 3.40
Dy  0.9846  0.9846  0.7265  2 Cu 3.03, 1 Tl 3.21, 1 Dy 3.22
Tl  0.1865  0.1865  0.2527  7 Dy 3.10-3.33
Tl  0.8135  0.8135  0.7473  7 Dy 3.10-3.33
Cu  0.5000  0.5000  0.5000  6 Dy 2.79-3.03

---

| no. | density (Mg/m³) |
| --- | --- |
| 1 | 9.1 |
| 2 | 10.6 |
| 3 | 9.4 |